No. 1
Entry from Alexandria via LeMat-Bulk: a relaxed Ag2SbAu6 crystal (PBE).

The space group is C2/m (No. 12) and the conventional cell measures 7.472, 8.540 and 5.489 Å, with angles of 90.00, 97.74 and 90.00 degrees. The distinct sites, in fractional coordinates, are Ag at (0.162, 0.000, 0.163), Sb at (0.000, 0.500, 0.500), Au at (0.000, 0.335, 0.000) and Au at (0.165, 0.162, 0.667).

For the energy above the most stable polymorph in this dataset, the calculation gives 0 meV/atom. As for the density of states at the Fermi level: 6.2 states/eV/cell.



No. 2
Entry from Alexandria via LeMat-Bulk: a relaxed Ca2TaOs crystal (PBE).

The space group is Cmmm (No. 65) and the conventional cell measures 5.582, 10.190 and 2.906 Å, with angles of 90.00, 90.00 and 90.00 degrees. The distinct sites, in fractional coordinates, are Ca at (0.250, 0.250, 0.000), Ta at (0.000, 0.000, 0.500) and Os at (0.000, 0.500, 0.500).

For the energy above the most stable polymorph in this dataset, the calculation gives 555 meV/atom. For the energy relative to the elements, the calculation gives 697.8 meV/atom. As for the density of states at the Fermi level: 8.0 states/eV/cell.



No. 3
Entry from Alexandria via LeMat-Bulk: a relaxed Th2MnCo4Ge3 crystal (PBE).

The space group is P-4m2 (No. 115) and the conventional cell measures 4.071, 4.071 and 9.813 Å, with angles of 90.00, 90.00 and 90.00 degrees. The distinct sites, in fractional coordinates, are Th at (0.000, 0.500, 0.247), Mn at (0.500, 0.500, 0.000), Co at (0.000, 0.000, 0.500), Co at (0.000, 0.500, 0.872), Co at (0.500, 0.500, 0.500), Ge at (0.000, 0.000, 0.000) and Ge at (0.000, 0.500, 0.628).

For the energy relative to the elements, the calculation gives -497.9 meV/atom. As for the density of states at the Fermi level: 10.2 states/eV/cell.



No. 4
Entry from Alexandria via LeMat-Bulk: a relaxed Er5Cd3Hg12 crystal (PBE).

The space group is Ia-3d (No. 230) and the conventional cell measures 17.095, 17.095 and 17.095 Å, with angles of 90.00, 90.00 and 90.00 degrees. The distinct sites, in fractional coordinates, are Er at (0.000, 0.000, 0.000), Er at (0.000, 0.250, 0.375), Cd at (0.000, 0.250, 0.125) and Hg at (0.012, 0.083, 0.652).

For the energy relative to the elements, the calculation gives 99.5 meV/atom. As for the density of states at the Fermi level: 115.4 states/eV/cell.



No. 5
Entry from Alexandria via LeMat-Bulk: a relaxed CdSi2W crystal (PBE).

The space group is P4/mmm (No. 123) and the conventional cell measures 3.291, 3.291 and 6.080 Å, with angles of 90.00, 90.00 and 90.00 degrees. The distinct sites, in fractional coordinates, are Cd at (0.000, 0.000, 0.000), Si at (0.500, 0.500, 0.293) and W at (0.000, 0.000, 0.500).

The final energy is -5.95 eV per atom. As for the density of states at the Fermi level: 2.5 states/eV/cell.